# 1
A geometry-optimized Li2YZn9 structure, computed with PBE.

Unit cell a=2.942 b=8.707 c=8.707 alpha=120.00 beta=90.00 gamma=90.00
Element x y z (fractional)
Li1 0.000 0.667 0.333
Li2 0.000 0.333 0.667
Y1 0.000 0.000 0.000
Zn1 0.500 0.818 0.182
Zn2 0.000 0.000 0.500
Zn3 0.000 0.500 0.500
Zn4 0.500 0.818 0.637
Zn5 0.500 0.182 0.818
Zn6 0.500 0.637 0.818
Zn7 0.500 0.182 0.363
Zn8 0.000 0.500 0.000
Zn9 0.500 0.363 0.182

uncorrected energy	-1.92	eV per atom
distance to the lowest polymorph of the same formula	106.6	meV per atom
symmetry	P6/mmm (191)
energy relative to the elements	-0.11	eV per atom
theoretical density	5.9	g/cm3

---

# 2
A geometry-optimized SrAcWN4 structure, computed with PBE.

Unit cell a=5.718 b=5.627 c=7.285 alpha=90.00 beta=113.10 gamma=90.00
Site moments in Bohr magnetons follow the coordinates.
Element x y z (fractional)
Sr1 0.605 0.750 0.209  0.00
Sr2 0.395 0.250 0.791  0.00
Ac1 0.104 0.250 0.207  0.03
Ac2 0.896 0.750 0.793  0.03
W1 0.265 0.750 0.530  -0.05
W2 0.735 0.250 0.470  -0.05
N1 0.915 0.250 0.830  0.33
N2 0.406 0.750 0.812  0.07
N3 0.085 0.750 0.170  0.33
N4 0.594 0.250 0.188  0.07
N5 0.500 0.500 0.500  0.11
N6 0.000 0.000 0.500  0.11
N7 0.500 0.000 0.500  0.11
N8 0.000 0.500 0.500  0.11

formation energy from raw total energies	-772.5	meV/atom
uncorrected energy	-8.21	eV per atom
symmetry	Cmcm (63)
theoretical density	8.5	g/cm3